Compound: Li2HRu
Source: the Alexandria database
Functional: SCAN
Structure: single point on PBEsol structure

Unit cell a=4.8957 b=4.8957 c=6.6563 alpha=90.00 beta=90.00 gamma=90.00
Last column: nearest neighbours and their distance in Å.
Space group I-42d (No. 122)
One atom of each set of equivalent atoms:
1 Li 0.0656 0.2500 0.1250 (multiplicity 8)  2 H 1.51
2 H 0.0000 0.0000 0.0000 (multiplicity 4)  4 Li 1.51
3 Ru 0.0000 0.0000 0.5000 (multiplicity 4)  8 Li 2.59-2.80

The density of states at the Fermi level is 1.998 states/eV/f.u. Its total energy is -41.18 eV/f.u. The crystal system is tetragonal.